i.
TbHoInRh after structural relaxation, computed with PBE.

a = 5.097 Å, b = 5.097 Å, c = 5.097 Å
α = 60.00°, β = 60.00°, γ = 60.00°
Atoms (fractional coordinates):
1 Tb 0.000 0.000 0.000
2 Ho 0.500 0.500 0.500
3 In 0.750 0.750 0.750
4 Rh 0.250 0.250 0.250

Results
**Space group**: F-43m, No. 216
**Magnetization**: 0.0 μB per cell

=====

ii.
TbHoInRh after structural relaxation, computed with PBE.

a = 3.529 Å, b = 3.529 Å, c = 7.526 Å
α = 90.00°, β = 90.00°, γ = 90.00°
Atoms (fractional coordinates):
1 Tb 0.000 0.000 0.000
2 Ho 0.000 0.000 0.566
3 In 0.500 0.500 0.286
4 Rh 0.500 0.500 0.777

Results
**Space group**: P4mm, No. 99
**Magnetization**: 0.0 μB per cell

=====

Order of stability, best first: ii, i